## Nd3Mg5Rh2 (PBE)

Data for a relaxed Nd3Mg5Rh2 crystal.

Output
For the total energy, the calculation gives -79.1 eV per cell. As for the calculated volume: 25.0 Å³/atom. As for the formation energy from the elements: -0.256 eV/atom.

Unit cell a=9.4345 b=9.4345 c=9.4345 alpha=100.30 beta=92.74 gamma=140.66
Element x y z (fractional)
Nd (0.1665, 0.2451, 0.4116)
Nd (0.2500, 0.2500, 0.0000)
Nd (0.3335, 0.7451, 0.0786)
Nd (0.6665, 0.2549, 0.9214)
Nd (0.7500, 0.7500, 0.0000)
Nd (0.8335, 0.7549, 0.5884)
Mg (0.0178, 0.7500, 0.2678)
Mg (0.0789, 0.6806, 0.7595)
Mg (0.2500, 0.7500, 0.5000)
Mg (0.4211, 0.1806, 0.6018)
Mg (0.4822, 0.7500, 0.7322)
Mg (0.5178, 0.2500, 0.2678)
Mg (0.5789, 0.8194, 0.3982)
Mg (0.7500, 0.2500, 0.5000)
Mg (0.9211, 0.3194, 0.2405)
Mg (0.9822, 0.2500, 0.7322)
Rh (0.1526, 0.8739, 0.0266)
Rh (0.3474, 0.3739, 0.7213)
Rh (0.6526, 0.6261, 0.2787)
Rh (0.8474, 0.1261, 0.9734)



## BeTl2Si (PBE)

Data for a relaxed BeTl2Si crystal.

Output
The value obtained for the uncorrected formation energy is 68.2 kJ/mol of atoms. For the total energy, the calculation gives -11.1 eV per cell. The value obtained for the excess energy over the best structure of this formula in the dataset is 1.89 eV/f.u. As for the calculated volume: 21.4 Å³/atom.

Unit cell a=4.2680 b=4.2680 c=6.3726 alpha=103.45 beta=103.45 gamma=49.81
Element x y z (fractional)
Be (0.0000, 0.0000, 0.0000)
Tl (0.2598, 0.2598, 0.7729)
Tl (0.7402, 0.7402, 0.2271)
Si (0.5000, 0.5000, 0.5000)